1.
This record from Alexandria describes Tl2CdGe2 after structural relaxation. The functional is GGA-PBE.

Geometry as extended XYZ:
```
5
Lattice="-5.0029 -0.0523 1.2112 0.4901 -4.7912 1.8175 -1.1216 -0.4959 6.2850" Properties=species:S:1:pos:R:3 pbc="T T T"
Ge -3.6418 -3.3653 6.6905
Tl -1.4440 -3.8544 4.8084
Tl -4.1904 -1.4850 4.5053
Cd 0.0000 0.0000 0.0000
Ge -1.9926 -1.9741 2.6232
```

Summary:
* energy above the lowest structure with this stoichiometry: 129 meV/atom
* total magnetic moment: 0.000 μB per cell
* DFT total energy: -2.685 eV/atom
* energy of formation from the pure elements: 1.46 eV/f.u.

2.
This record from Alexandria describes Ba2NaCrSn after structural relaxation. The functional is GGA-PBE.

Geometry as extended XYZ:
```
5
Lattice="-0.8845 -4.6225 -4.3218 1.8245 -3.5615 3.4359 -5.9296 -0.9188 2.1963" Properties=species:S:1:pos:R:3 pbc="T T T"
Sn 0.9122 -1.7807 1.7179
Ba -0.4423 -2.3113 -2.1609
Cr -2.4949 -4.5514 0.6552
Na 0.0000 0.0000 0.0000
Ba -2.9648 -0.4594 1.0982
```

Summary:
* total magnetic moment: 4.970 μB per cell
* DFT total energy: -3.174 eV/atom
* energy of formation from the pure elements: 2.92 eV/f.u.

3.
This record from Alexandria describes LiSn after structural relaxation. The functional is GGA-PBE.

Geometry as extended XYZ:
```
4
Lattice="-3.9213 -0.6060 -2.7417 1.5801 -3.6104 2.7801 -3.0211 1.7134 3.9422" Properties=species:S:1:pos:R:3 pbc="T T T"
Sn -2.8428 -1.1791 0.0845
Sn -2.5195 -1.3239 3.8962
Li -4.3533 -0.3225 2.0556
Li -1.0089 -2.1806 1.9251
```

Summary:
* total magnetic moment: 0.000 μB per cell
* DFT total energy: -2.815 eV/atom
* energy of formation from the pure elements: 0.29 eV/f.u.

4.
This record from Alexandria describes CeSnTe after structural relaxation. The functional is GGA-PBE.

Geometry as extended XYZ:
```
6
Lattice="4.3615 0.0000 0.0000 0.0000 4.3615 0.0000 -2.1807 -2.1807 9.1050" Properties=species:S:1:pos:R:3 pbc="T T T"
Te 2.1807 2.1807 5.7833
Ce 0.0000 0.0000 6.5960
Te 0.0000 0.0000 3.3216
Ce 2.1807 2.1807 2.5090
Sn 0.0000 2.1807 0.0000
Sn 2.1807 0.0000 0.0000
```

Summary:
* uncorrected formation energy: -1.00 eV/atom
* total magnetic moment: 0.687 μB per cell
* DFT total energy: -5.362 eV/atom

5.
This record from Alexandria describes MoP2Rh2 after structural relaxation. The functional is GGA-PBE.

Geometry as extended XYZ:
```
10
Lattice="6.9452 0.0000 0.0000 0.0000 6.9452 0.0000 0.0000 0.0000 2.8413" Properties=species:S:1:pos:R:3 pbc="T T T"
Rh 4.4776 5.9402 1.4207
P 2.3559 5.8284 0.0000
Rh 5.9402 2.4676 1.4207
P 1.1167 2.3559 0.0000
Rh 2.4676 1.0050 1.4207
Mo 0.0000 0.0000 0.0000
Rh 1.0050 4.4776 1.4207
Mo 3.4726 3.4726 0.0000
P 5.8284 4.5893 0.0000
P 4.5893 1.1167 0.0000
```

Summary:
* total magnetic moment: 0.000 μB per cell
* DFT total energy: -7.566 eV/atom
* energy of formation from the pure elements: -1.47 eV/f.u.

6.
This record from Alexandria describes PmNd2Sm6Tm after structural relaxation. The functional is GGA-PBE.

Geometry as extended XYZ:
```
20
Lattice="9.3311 -2.1025 -2.1819 0.7692 8.6463 -2.0394 0.7692 -2.3585 8.5648" Properties=species:S:1:pos:R:3 pbc="T T T"
Pm 3.1019 7.9103 -2.3822
Sm 5.8552 5.0068 -1.6880
Sm 6.8745 -2.6619 3.3635
Pm 7.7675 -3.7249 6.7257
Sm 9.6798 5.0065 -1.6883
Sm 2.2089 4.5111 -1.4445
Nd 0.7823 2.0251 0.9895
Nd 5.4215 4.3229 3.3741
Nd 10.0871 2.1603 3.3540
Sm 8.8322 -0.5043 1.8073
Sm 4.1667 2.8760 0.6540
Tm 3.1019 1.6105 3.6884
Sm 3.9949 6.8473 0.9800
Sm 1.1897 -0.8211 6.0318
Sm 8.6605 -0.3256 5.7880
Sm 2.0372 4.6897 2.5362
Sm 6.7027 1.3094 3.6895
Sm 5.0142 -0.8214 6.0315
Tm 7.7675 2.5749 0.6552
Nd 5.4479 -0.1374 0.9694
```

Summary:
* total magnetic moment: 0.000 μB per cell
* DFT total energy: -4.593 eV/atom
* energy of formation from the pure elements: 1.14 eV/f.u.

7.
This record from Alexandria describes Na10B17C3 after structural relaxation. The functional is GGA-PBE.

Geometry as extended XYZ:
```
30
Lattice="-2.8341 -6.7872 1.8842 1.4307 -5.6705 4.8421 -4.8216 6.2704 4.5847" Properties=species:S:1:pos:R:3 pbc="T T T"
C -1.5596 -7.5928 6.6752
B -3.9757 -3.3044 8.2322
B -4.2405 -5.6829 9.5120
Na -1.1376 -9.9587 5.3947
B -0.3691 -3.5917 5.1528
B -0.7823 -0.2064 2.6418
B -1.2806 -5.0722 5.3097
B -4.6029 1.4219 4.6791
B -3.2798 -4.4457 3.1914
Na -2.8468 -0.5955 4.3276
Na -5.6412 -1.2167 8.5993
B -2.4337 -2.9163 2.9457
Na -2.5280 1.8806 2.9450
B -5.7932 -2.5682 6.1965
Na -3.3922 0.6008 9.4245
B -2.9214 -1.8266 8.1943
B -4.8993 -1.0121 5.9744
Na -5.0889 3.7718 5.9115
B -3.1978 1.7898 5.6536
B -3.5083 -0.6582 6.9452
C -2.6646 0.7445 6.7717
B -2.8134 -7.9211 5.8057
B -0.7378 -6.2379 6.5188
Na -0.5756 -4.9719 2.7167
Na -3.1146 -3.0955 5.6555
B -2.6550 -5.5239 4.4139
B -1.0447 -2.5507 3.9052
Na -3.3827 -5.5938 6.9840
Na -3.6905 -8.0628 8.3712
C -5.2292 -3.6023 7.3462
```

Summary:
* energy above the lowest structure with this stoichiometry: 18 meV/atom
* total magnetic moment: 0.000 μB per cell
* DFT total energy: -4.923 eV/atom
* energy of formation from the pure elements: 6.68 eV/f.u.

8.
This record from Alexandria describes Li3Zr2PtS6 after structural relaxation. The functional is GGA-PBE.

Geometry as extended XYZ:
```
12
Lattice="3.6024 0.0000 0.0000 0.0000 7.2988 -0.1300 -1.8012 -2.5007 8.2500" Properties=species:S:1:pos:R:3 pbc="T T T"
Zr 1.8012 3.4446 5.7234
S 1.8012 -0.8298 8.1519
S 1.8012 -0.3194 3.0478
S 1.8012 3.2054 2.7205
Li 1.8012 -0.3200 5.5221
S 0.0000 5.1175 5.0722
Li 0.0000 5.1181 2.5979
Li 1.8012 3.6494 -0.0650
S 0.0000 1.5927 5.3995
Zr 0.0000 1.3535 2.3966
S 0.0000 5.6279 -0.0319
Pt 1.8012 0.0000 0.0000
```

Summary:
* uncorrected formation energy: -1.21 eV/atom
* total magnetic moment: 0.000 μB per cell
* DFT total energy: -5.684 eV/atom

9.
This record from Alexandria describes Pr5Zn4Ru after structural relaxation. The functional is GGA-PBE.

Geometry as extended XYZ:
```
10
Lattice="-0.0952 -0.7377 3.5811 3.6114 -0.5785 -0.0232 2.9167 18.0568 3.7974" Properties=species:S:1:pos:R:3 pbc="T T T"
Pr 2.0250 0.9942 2.1264
Zn 2.3390 14.4805 3.0453
Zn 0.5777 3.5763 0.7521
Zn 1.7533 10.8547 2.2828
Zn 1.1633 7.2021 1.5146
Ru 0.0000 0.0000 0.0000
Pr 3.2164 8.3703 3.6776
Pr 4.4079 15.7464 5.2288
Pr 3.8063 12.0217 4.4455
Pr 2.6266 4.7189 2.9098
```

Summary:
* total magnetic moment: 0.010 μB per cell
* DFT total energy: -4.079 eV/atom
* energy of formation from the pure elements: -2.52 eV/f.u.

10.
This record from Alexandria describes LiAsO2 after structural relaxation. The functional is GGA-PBE.

Geometry as extended XYZ:
```
4
Lattice="-2.6742 0.9802 1.0405 0.4346 -4.8924 1.3071 2.4671 3.5773 2.9709" Properties=species:S:1:pos:R:3 pbc="T T T"
O -0.3580 1.1503 2.4145
Li 1.4699 1.1323 2.7112
As -1.1026 0.6757 0.9479
O -0.1128 -0.9319 0.5879
```

Summary:
* uncorrected formation energy: -1.49 eV/atom
* total magnetic moment: 0.000 μB per cell
* DFT total energy: -5.607 eV/atom

11.
This record from Alexandria describes DyErMgRu after structural relaxation. The functional is GGA-PBE.

Geometry as extended XYZ:
```
4
Lattice="3.4283 0.0000 0.0000 0.0000 3.4283 0.0000 0.0000 0.0000 8.0609" Properties=species:S:1:pos:R:3 pbc="T T T"
Er 1.7142 1.7142 2.9652
Mg 0.0000 0.0000 0.5959
Ru 0.0000 0.0000 4.5827
Dy 1.7142 1.7142 6.2424
```

Summary:
* energy above the lowest structure with this stoichiometry: 0 meV/atom
* total magnetic moment: 0.000 μB per cell
* DFT total energy: -5.318 eV/atom
* energy of formation from the pure elements: -1.24 eV/f.u.

12.
This record from Alexandria describes YIn2Pd after structural relaxation. The functional is GGA-PBE.

Geometry as extended XYZ:
```
4
Lattice="3.4259 0.0000 0.0000 0.0000 3.4259 0.0000 0.0000 0.0000 7.5156" Properties=species:S:1:pos:R:3 pbc="T T T"
Y 1.7130 1.7130 3.7578
In 0.0000 0.0000 5.9556
Pd 1.7130 1.7130 0.0000
In 0.0000 0.0000 1.5600
```

Summary:
* total magnetic moment: 0.422 μB per cell
* DFT total energy: -4.791 eV/atom
* energy of formation from the pure elements: -2.03 eV/f.u.

Please write out number 4 again, unchanged.
This record from Alexandria describes CeSnTe after structural relaxation. The functional is GGA-PBE.

Geometry as extended XYZ:
```
6
Lattice="4.3615 0.0000 0.0000 0.0000 4.3615 0.0000 -2.1807 -2.1807 9.1050" Properties=species:S:1:pos:R:3 pbc="T T T"
Te 2.1807 2.1807 5.7833
Ce 0.0000 0.0000 6.5960
Te 0.0000 0.0000 3.3216
Ce 2.1807 2.1807 2.5090
Sn 0.0000 2.1807 0.0000
Sn 2.1807 0.0000 0.0000
```

Summary:
* uncorrected formation energy: -1.00 eV/atom
* total magnetic moment: 0.687 μB per cell
* DFT total energy: -5.362 eV/atom

> The lowest DFT total energy belongs to which entry?

MoP2Rh2

Repeat the sixth record exactly.
This record from Alexandria describes PmNd2Sm6Tm after structural relaxation. The functional is GGA-PBE.

Geometry as extended XYZ:
```
20
Lattice="9.3311 -2.1025 -2.1819 0.7692 8.6463 -2.0394 0.7692 -2.3585 8.5648" Properties=species:S:1:pos:R:3 pbc="T T T"
Pm 3.1019 7.9103 -2.3822
Sm 5.8552 5.0068 -1.6880
Sm 6.8745 -2.6619 3.3635
Pm 7.7675 -3.7249 6.7257
Sm 9.6798 5.0065 -1.6883
Sm 2.2089 4.5111 -1.4445
Nd 0.7823 2.0251 0.9895
Nd 5.4215 4.3229 3.3741
Nd 10.0871 2.1603 3.3540
Sm 8.8322 -0.5043 1.8073
Sm 4.1667 2.8760 0.6540
Tm 3.1019 1.6105 3.6884
Sm 3.9949 6.8473 0.9800
Sm 1.1897 -0.8211 6.0318
Sm 8.6605 -0.3256 5.7880
Sm 2.0372 4.6897 2.5362
Sm 6.7027 1.3094 3.6895
Sm 5.0142 -0.8214 6.0315
Tm 7.7675 2.5749 0.6552
Nd 5.4479 -0.1374 0.9694
```

Summary:
* total magnetic moment: 0.000 μB per cell
* DFT total energy: -4.593 eV/atom
* energy of formation from the pure elements: 1.14 eV/f.u.